LaCoMo2 after structural relaxation. Source: the Alexandria database, functional PBE.

a = 5.7482 Å, b = 5.7482 Å, c = 5.7482 Å
α = 141.19°, β = 141.19°, γ = 56.05°
Last column: nearest neighbours and their distance in Å.
Sites, in units of the cell vectors:
La  0.0000  0.0000  0.0000  4 Co 2.70
Co  0.5000  0.5000  0.0000  4 La 2.70
Mo  0.2500  0.7500  0.5000  4 Mo 2.70
Mo  0.7500  0.2500  0.5000  4 Mo 2.70

Output
ΔE to the lowest computed polymorph = 1.39 eV per formula unit
uncorrected energy = -31.04 eV for the cell shown

ScInHg after structural relaxation. Source: the Alexandria database, functional PBE.

a = 5.0614 Å, b = 5.0614 Å, c = 6.1341 Å
α = 90.00°, β = 90.00°, γ = 120.00°
Last column: nearest neighbours and their distance in Å.
Sites, in units of the cell vectors:
Sc  0.3333  0.6667  0.2500  5 In 2.92-3.07
Sc  0.6667  0.3333  0.7500  5 In 2.92-3.07
In  0.3333  0.6667  0.7500  5 Sc 2.92-3.07
In  0.6667  0.3333  0.2500  5 Sc 2.92-3.07
Hg  0.0000  0.0000  0.0000  2 Hg 3.07, 6 In 3.30, 6 Sc 3.30
Hg  0.0000  0.0000  0.5000  2 Hg 3.07, 6 Sc 3.30, 6 In 3.30

Output
ΔE to the lowest computed polymorph = 0.37 eV per formula unit
uncorrected energy = -19.94 eV for the cell shown

KRe2Ru after structural relaxation. Source: the Alexandria database, functional PBE.

a = 3.7596 Å, b = 3.7596 Å, c = 4.9403 Å
α = 90.00°, β = 90.00°, γ = 90.00°
Last column: nearest neighbours and their distance in Å.
Sites, in units of the cell vectors:
K  0.0000  0.0000  0.0000  4 Ru 2.66
Re  0.0000  0.5000  0.5000  4 Re 2.66
Re  0.5000  0.0000  0.5000  4 Re 2.66
Ru  0.5000  0.5000  0.0000  4 K 2.66

Output
ΔE to the lowest computed polymorph = 4.54 eV per formula unit
uncorrected energy = -27.91 eV for the cell shown

Here are the calculated formation energy from the elements numbers, same order: 0.665 -0.199 1.841 (eV per atom).